VASP calculation (PBE) on a relaxed structure of Ho2Ti3Si4. Values from VASP.

DOS at the Fermi energy, states/eV per cell: 16.58
Formation energy without anion corrections, eV per atom: -0.815

```
&SYSTEM
  ibrav = 0, nat = 18, ntyp = 3
/
ATOMIC_SPECIES
Ho 164.93 Ho.upf
Ti 47.87 Ti.upf
Si 28.09 Si.upf
CELL_PARAMETERS angstrom
7.037 0.000 0.000
0.000 7.021 0.000
-2.215 0.000 6.470
ATOMIC_POSITIONS crystal
Ho 0.189 0.169 0.067
Ho 0.189 0.331 0.567
Ho 0.811 0.669 0.433
Ho 0.811 0.831 0.933
Ti 0.256 0.677 0.249
Ti 0.256 0.823 0.749
Ti 0.500 0.000 0.500
Ti 0.500 0.500 0.000
Ti 0.744 0.177 0.251
Ti 0.744 0.323 0.751
Si 0.085 0.539 0.871
Si 0.085 0.961 0.371
Si 0.496 0.125 0.869
Si 0.496 0.375 0.369
Si 0.504 0.625 0.631
Si 0.504 0.875 0.131
Si 0.915 0.039 0.629
Si 0.915 0.461 0.129
```


VASP calculation (PBE) on a relaxed structure of HoTiSi. Values from VASP.

DOS at the Fermi energy, states/eV per cell: 6.37
Formation energy without anion corrections, eV per atom: -0.659

```
&SYSTEM
  ibrav = 0, nat = 6, ntyp = 3
/
ATOMIC_SPECIES
Ho 164.93 Ho.upf
Ti 47.87 Ti.upf
Si 28.09 Si.upf
CELL_PARAMETERS angstrom
4.023 0.000 0.000
0.000 4.023 0.000
0.000 0.000 7.531
ATOMIC_POSITIONS crystal
Ho 0.250 0.250 0.156
Ho 0.750 0.750 0.844
Ti 0.250 0.750 0.500
Ti 0.750 0.250 0.500
Si 0.250 0.250 0.739
Si 0.750 0.750 0.261
```


VASP calculation (PBE) on a relaxed structure of HoTlSi. Values from VASP.

DOS at the Fermi energy, states/eV per cell: 2.20
Formation energy without anion corrections, eV per atom: -0.414

```
&SYSTEM
  ibrav = 0, nat = 6, ntyp = 3
/
ATOMIC_SPECIES
Ho 164.93 Ho.upf
Tl 204.38 Tl.upf
Si 28.09 Si.upf
CELL_PARAMETERS angstrom
2.105 -9.335 0.000
2.105 9.335 0.000
0.000 0.000 3.782
ATOMIC_POSITIONS crystal
Ho 0.081 0.919 0.750
Ho 0.919 0.081 0.250
Tl 0.290 0.710 0.250
Tl 0.710 0.290 0.750
Si 0.459 0.541 0.750
Si 0.541 0.459 0.250
```


VASP calculation (PBE) on a relaxed structure of Ho6Tl2Si. Values from VASP.

DOS at the Fermi energy, states/eV per cell: 10.22
Formation energy without anion corrections, eV per atom: -0.355

```
&SYSTEM
  ibrav = 0, nat = 9, ntyp = 3
/
ATOMIC_SPECIES
Ho 164.93 Ho.upf
Tl 204.38 Tl.upf
Si 28.09 Si.upf
CELL_PARAMETERS angstrom
8.417 0.000 0.000
-4.209 7.289 0.000
0.000 0.000 4.033
ATOMIC_POSITIONS crystal
Ho 0.000 0.251 0.000
Ho 0.000 0.608 0.500
Ho 0.251 0.000 0.000
Ho 0.392 0.392 0.500
Ho 0.608 0.000 0.500
Ho 0.749 0.749 0.000
Tl 0.333 0.667 0.000
Tl 0.667 0.333 0.000
Si 0.000 0.000 0.500
```


VASP calculation (PBE) on a relaxed structure of Ho6TlSi2. Values from VASP.

DOS at the Fermi energy, states/eV per cell: 14.67
Formation energy without anion corrections, eV per atom: -0.505

```
&SYSTEM
  ibrav = 0, nat = 18, ntyp = 3
/
ATOMIC_SPECIES
Ho 164.93 Ho.upf
Tl 204.38 Tl.upf
Si 28.09 Si.upf
CELL_PARAMETERS angstrom
-4.729 4.813 5.137
4.729 -4.813 5.137
4.729 4.813 -5.137
ATOMIC_POSITIONS crystal
Ho 0.035 0.241 0.795
Ho 0.185 0.278 0.463
Ho 0.185 0.722 0.907
Ho 0.321 0.024 0.703
Ho 0.321 0.617 0.297
Ho 0.446 0.241 0.205
Ho 0.554 0.759 0.795
Ho 0.679 0.383 0.703
Ho 0.679 0.976 0.297
Ho 0.815 0.278 0.093
Ho 0.815 0.722 0.537
Ho 0.965 0.759 0.205
Tl 0.000 0.000 0.000
Tl 0.500 0.500 0.000
Si 0.116 0.616 0.500
Si 0.369 0.000 0.369
Si 0.631 0.000 0.631
Si 0.884 0.384 0.500
```


VASP calculation (PBE) on a relaxed structure of HoTmSi2. Values from VASP.

Energy above the lowest structure with this stoichiometry, meV/atom: 0
DOS at the Fermi energy, states/eV per cell: 2.55
Formation energy without anion corrections, eV per atom: -0.820

```
&SYSTEM
  ibrav = 0, nat = 4, ntyp = 3
/
ATOMIC_SPECIES
Ho 164.93 Ho.upf
Tm 168.93 Tm.upf
Si 28.09 Si.upf
CELL_PARAMETERS angstrom
3.807 0.000 0.000
0.000 2.116 5.217
0.000 -2.116 5.217
ATOMIC_POSITIONS crystal
Ho 0.000 0.000 0.000
Tm 0.500 0.719 0.719
Si 0.000 0.282 0.282
Si 0.500 0.437 0.437
```


Please write out number 2 again, unchanged.
VASP calculation (PBE) on a relaxed structure of HoTiSi. Values from VASP.

DOS at the Fermi energy, states/eV per cell: 6.37
Formation energy without anion corrections, eV per atom: -0.659

```
&SYSTEM
  ibrav = 0, nat = 6, ntyp = 3
/
ATOMIC_SPECIES
Ho 164.93 Ho.upf
Ti 47.87 Ti.upf
Si 28.09 Si.upf
CELL_PARAMETERS angstrom
4.023 0.000 0.000
0.000 4.023 0.000
0.000 0.000 7.531
ATOMIC_POSITIONS crystal
Ho 0.250 0.250 0.156
Ho 0.750 0.750 0.844
Ti 0.250 0.750 0.500
Ti 0.750 0.250 0.500
Si 0.250 0.250 0.739
Si 0.750 0.750 0.261
```


> Which of these has the highest DOS at the Fermi energy?

Ho2Ti3Si4


> The lowest formation energy without anion corrections belongs to which entry?

HoTmSi2